La6Hg3IrRh2 PBE-GGA relaxed; ΔH_f (0 K) = -634 meV per atom; DOS at the Fermi energy = 11.06 states/eV/f.u.
1.0
-3.3657 -4.9412 4.0605
5.8234 3.4252 2.5667
-5.5207 6.2143 0.8443
Rh Ir La Hg
2 1 6 3
Cartesian
-0.3034 -2.1531 3.5627
2.7611 0.6370 3.0645
0.0000 0.0000 0.0000
0.7007 0.1293 5.0346
0.9931 2.2796 1.4636
-1.0049 5.1968 5.5119
-4.0562 2.4187 6.0079
-2.0582 -0.4985 1.9597
-3.7638 4.5690 2.4370
-1.5315 2.3491 3.7358
-4.5920 -0.4374 4.2333
1.5290 5.1356 3.2383